Record 1
A plane-wave DFT calculation with PBE was carried out for a relaxed La6BiP2S3 crystal.

extended XYZ file:
```
12
Lattice="4.2955 0.0000 0.0000 0.0000 8.5964 0.3586 -2.1478 -2.4274 9.0168" Properties=species:S:1:pos:R:3 pbc="T T T"
La 0.0000 6.1922 6.1929
La 2.1478 4.1613 3.2516
La 2.1478 -0.0232 3.1825
La 0.0000 2.3261 0.1508
La 2.1478 3.8429 9.2246
La 0.0000 2.0077 6.1238
Bi 2.1478 0.0000 0.0000
P 2.1478 4.1024 6.2221
P 0.0000 2.0667 3.1532
S 2.1478 4.2982 0.1793
S 2.1478 -0.1875 6.1084
S 0.0000 6.3566 3.2669
```

E_tot in eV per atom: -6.492
Space group: C2/m, No. 12
Formation energy (no corrections) in eV/atom: -1.77


Record 2
A plane-wave DFT calculation with PBE was carried out for a relaxed La4Bi2PS crystal.

extended XYZ file:
```
16
Lattice="-1.2012 8.5843 2.1112 -8.5767 -0.6065 -2.3798 3.3283 -5.6169 6.0288" Properties=species:S:1:pos:R:3 pbc="T T T"
La -3.3343 -4.0461 4.6207
La -1.5687 3.4520 4.0823
La -4.8808 -1.0911 1.6779
La -3.1152 6.4072 1.1396
La -3.9802 0.5525 5.7791
La -5.5386 3.1826 2.9560
La -0.9110 -0.8217 2.8043
La -2.4693 1.8084 -0.0188
Bi -0.6006 4.2922 1.0556
Bi 1.0636 1.4837 4.0700
Bi 1.6641 -2.8085 3.0144
Bi -4.8889 3.9889 -0.1343
P -4.2883 -0.3033 -1.1899
P -3.8253 5.4726 3.9357
S -3.2248 1.1804 2.8801
S 2.1272 2.9674 8.1400
```

E_tot in eV per atom: -6.058
Space group: Imma, No. 74
Formation energy (no corrections) in eV/atom: -1.43


Record 3
A plane-wave DFT calculation with PBE was carried out for a relaxed LaBiP2S crystal.

extended XYZ file:
```
5
Lattice="-0.9266 4.4148 2.4694 -4.8522 -1.4852 0.8346 1.4572 -2.2216 4.5185" Properties=species:S:1:pos:R:3 pbc="T T T"
P -2.4261 -0.7426 0.4173
P -0.4633 2.2074 1.2347
S 0.7286 -1.1108 2.2592
Bi 0.0000 0.0000 0.0000
La -2.1608 0.3540 3.9112
```

Offset from the most stable computed form in eV/f.u.: 0.00
E_tot in eV per atom: -4.718
Space group: P4/mmm, No. 123
Formation energy (no corrections) in eV/atom: 0.03


Record 4
A plane-wave DFT calculation with PBE was carried out for a relaxed LaBiP2S crystal.

extended XYZ file:
```
5
Lattice="-1.0211 -0.4484 5.3902 -3.4480 -4.1723 -1.0002 4.0336 -3.4478 0.4773" Properties=species:S:1:pos:R:3 pbc="T T T"
P -1.7240 -2.0862 -0.5001
P -0.5105 -0.2242 2.6951
S 2.0168 -1.7239 0.2386
Bi -0.2178 -4.0342 2.4336
La 0.0000 0.0000 0.0000
```

Offset from the most stable computed form in eV/f.u.: 2.10
E_tot in eV per atom: -4.298
Space group: P4/mmm, No. 123
Formation energy (no corrections) in eV/atom: 0.45


Record 5
A plane-wave DFT calculation with PBE was carried out for a relaxed La4BiSb2P crystal.

extended XYZ file:
```
8
Lattice="4.5530 0.0000 0.0000 0.0000 7.8955 -0.1604 0.0000 2.7746 7.4177" Properties=species:S:1:pos:R:3 pbc="T T T"
La 0.0001 7.9318 5.3599
La 4.5531 2.7382 1.8973
La 2.2766 6.5588 1.8535
La 2.2766 4.1112 5.4038
Bi 2.2765 3.9477 -0.0802
Sb 0.0000 2.7746 7.4177
Sb 2.2765 1.3873 3.7088
P 0.0000 5.3350 3.6287
```

E_tot in eV per atom: -5.908
Space group: P2/m, No. 10
Formation energy (no corrections) in eV/atom: -1.25


Record 6
A plane-wave DFT calculation with PBE was carried out for a relaxed LaBiSb2P crystal.

extended XYZ file:
```
5
Lattice="6.0664 0.0000 0.0000 0.0000 5.2287 0.0000 0.0000 0.0000 6.0664" Properties=species:S:1:pos:R:3 pbc="T T T"
Sb 0.0000 0.0000 3.0332
Sb 3.0332 0.0000 0.0000
Bi 3.0332 2.6143 3.0332
P 0.0000 2.6143 0.0000
La 0.0000 0.0000 0.0000
```

E_tot in eV per atom: -3.845
Space group: P4/mmm, No. 123
Formation energy (no corrections) in eV/atom: 0.65


Record 7
A plane-wave DFT calculation with PBE was carried out for a relaxed La2Sc2Bi2P crystal.

extended XYZ file:
```
7
Lattice="-2.2390 -2.3246 -3.6866 4.1862 -2.3005 -1.0918 -3.0618 -3.9693 7.6184" Properties=species:S:1:pos:R:3 pbc="T T T"
La -0.7037 -2.1167 1.7620
La -0.4110 -6.4776 1.0779
Sc 2.0931 -1.1502 -0.5459
Sc -1.1195 -1.1623 -1.8433
Bi -1.5451 -4.6480 3.8691
Bi 0.4305 -3.9463 -1.0292
P 0.0000 0.0000 0.0000
```

Energy of formation in eV per formula unit: -7.016
E_tot in eV per atom: -6.101
Space group: I4/mmm, No. 139


Record 8
A plane-wave DFT calculation with PBE was carried out for a relaxed La4BiPSe2 crystal.

extended XYZ file:
```
8
Lattice="-1.2550 1.5909 3.9090 -7.2250 -1.5956 -1.6703 -1.6658 -7.1513 2.3757" Properties=species:S:1:pos:R:3 pbc="T T T"
La -6.6704 -6.4263 0.4738
La -3.4754 -0.7297 4.1406
La -6.4428 -2.3083 1.3507
La -3.7030 -4.8477 3.2638
Bi -4.2400 -0.0023 1.1194
P -4.4453 -4.3734 0.3527
Se -1.6658 -7.1513 2.3757
Se -1.4604 -2.7802 3.1423
```

E_tot in eV per atom: -6.146
Space group: P2/m, No. 10
Formation energy (no corrections) in eV/atom: -1.65